First-principles (PBE-GGA) data for crystalline Tl3GaH at its relaxed geometry, as listed in Alexandria via LeMat-Bulk.

Computed properties:
ΔE to the lowest computed polymorph   0.3355 eV/atom

abc: 5.5405 5.5405 5.5405
angles: 90.00 90.00 90.00
Space group Pm-3m (No. 221)
One atom of each set of equivalent atoms:
Tl 0.0000 0.0000 0.5000 x3
Ga 0.0000 0.0000 0.0000 x1
H 0.5000 0.5000 0.5000 x1

First-principles (PBE-GGA) data for crystalline Np2PbSe4 at its relaxed geometry, as listed in Alexandria via LeMat-Bulk.

Computed properties:
Formation energy (no corrections)   -930 meV/atom

abc: 4.1469 13.5215 14.2608
angles: 90.00 90.00 90.00
Space group Cmcm (No. 63)
One atom of each set of equivalent atoms:
Np 0.0000 0.1339 0.0650 x8
Pb 0.0000 0.3921 0.2500 x4
Se 0.0000 0.0509 0.2500 x4
Se 0.0000 0.2301 0.6155 x8
Se 0.0000 0.5000 0.0000 x4

First-principles (PBE-GGA) data for crystalline TlSnAu4 at its relaxed geometry, as listed in Alexandria via LeMat-Bulk.

Computed properties:
Formation energy   -18 meV per atom
ΔE to the lowest computed polymorph   0.0170 eV/atom

abc: 7.7597 7.4039 9.5469
angles: 90.00 113.72 90.00
Space group C2/m (No. 12)
One atom of each set of equivalent atoms:
Tl 0.2171 0.0000 0.0005 x4
Sn 0.2500 0.2500 0.5000 x4
Au 0.0661 0.0000 0.6649 x4
Au 0.0870 0.2863 0.1730 x8
Au 0.0996 0.5000 0.6646 x4

First-principles (PBE-GGA) data for crystalline Cd2Hg2O3 at its relaxed geometry, as listed in Alexandria via LeMat-Bulk.

Computed properties:
Formation energy (no corrections)   -565 meV/atom

abc: 6.7077 5.6416 6.4852
angles: 90.00 96.52 90.00
Space group P2_1/c (No. 14)
One atom of each set of equivalent atoms:
Cd 0.0938 0.1918 0.2150 x4
Hg 0.3962 0.6995 0.9873 x4
O 0.0000 0.0000 0.5000 x2
O 0.2242 0.0187 0.9524 x4

First-principles (PBE-GGA) data for crystalline Tb5CoAu2 at its relaxed geometry, as listed in Alexandria via LeMat-Bulk.

Computed properties:
Formation energy   -521 meV per atom

abc: 8.7083 11.7171 4.0178
angles: 90.00 90.00 90.00
Space group Pbam (No. 55)
One atom of each set of equivalent atoms:
Tb 0.0000 0.0000 0.0000 x2
Tb 0.1475 0.3039 0.0000 x4
Tb 0.1746 0.5778 0.5000 x4
Co 0.0000 0.5000 0.0000 x2
Au 0.0659 0.8228 0.5000 x4

First-principles (PBE-GGA) data for crystalline TaNiW2 at its relaxed geometry, as listed in Alexandria via LeMat-Bulk.

Computed properties:
Formation energy   201 meV per atom
ΔE to the lowest computed polymorph   0.2156 eV/atom

abc: 9.2940 2.7320 4.9895
angles: 90.00 99.58 90.00
Space group Cm (No. 8)
One atom of each set of equivalent atoms:
Ta 0.0000 0.0000 0.0000 x2
Ni 0.2394 0.5000 0.2208 x2
W 0.2334 0.0000 0.7189 x2
W 0.4696 0.0000 0.4764 x2

First-principles (PBE-GGA) data for crystalline Sr3ScW at its relaxed geometry, as listed in Alexandria via LeMat-Bulk.

Computed properties:
Formation energy   2054 meV per atom
ΔE to the lowest computed polymorph   0.8164 eV/atom

abc: 5.7405 5.7405 5.7405
angles: 90.00 90.00 90.00
Space group Pm-3m (No. 221)
One atom of each set of equivalent atoms:
Sr 0.0000 0.0000 0.5000 x3
Sc 0.0000 0.0000 0.0000 x1
W 0.5000 0.5000 0.5000 x1

First-principles (PBE-GGA) data for crystalline Ac3PaS6 at its relaxed geometry, as listed in Alexandria via LeMat-Bulk.

Computed properties:
Formation energy (no corrections)   -1963 meV/atom

abc: 12.8624 12.8624 12.3395
angles: 90.00 90.00 120.00
Space group R-3 (No. 148, hexagonal axes)
One atom of each set of equivalent atoms:
Ac 0.0487 0.2780 0.1582 x18
Pa 0.0000 0.0000 0.0000 x3
Pa 0.0000 0.0000 0.5000 x3
S 0.0323 0.2059 0.8999 x18
S 0.0501 0.2008 0.3877 x18

| no. | energy (eV/cell) |
| --- | --- |
| 1 | -10.5 |
| 2 | -200.1 |
| 3 | -78.3 |
| 4 | -42.5 |
| 5 | -82.0 |
| 6 | -85.5 |
| 7 | -14.1 |
| 8 | -397.3 |